(1)
Pu5HgPb3 | PBE | relaxed

The structure belongs to space group P6_3/mcm (No. 193); the cell edges are 9.5863, 9.5863 and 6.3822 Å and the angles 90.00°, 90.00° and 120.00°. Symmetry generates all atoms from Pu at (0.0000, 0.2970, 0.2500), Pu at (0.3333, 0.6667, 0.0000), Hg at (0.0000, 0.0000, 0.0000) and Pb at (0.0000, 0.3668, 0.7500).

As for the formation enthalpy at 0 K: -0.046 eV/atom. The density of states at the Fermi level is 108.2 states/eV per cell.

(2)
PuHg6Pb | PBE | relaxed

The structure belongs to space group Amm2 (No. 38); the cell edges are 5.167, 6.844 and 11.799 Å and the angles 90.00°, 90.00° and 90.00°. Symmetry generates all atoms from Pu at (0.000, 0.000, 0.000), Hg at (0.000, 0.000, 0.506), Hg at (0.000, 0.238, 0.746), Hg at (0.500, 0.000, 0.834), Hg at (0.500, 0.250, 0.082) and Pb at (0.500, 0.000, 0.331).

As for the formation enthalpy at 0 K: -0.047 eV/atom. The density of states at the Fermi level is 32.7 states/eV per cell.

(3)
Pu3Hg2Pb | PBE | relaxed

The structure belongs to space group P4/mmm (No. 123); the cell edges are 4.046, 4.046 and 9.853 Å and the angles 90.00°, 90.00° and 90.00°. Symmetry generates all atoms from Pu at (0.000, 0.000, 0.000), Pu at (0.000, 0.000, 0.331), Hg at (0.500, 0.500, 0.165) and Pb at (0.500, 0.500, 0.500).

As for the formation enthalpy at 0 K: -0.095 eV/atom. The density of states at the Fermi level is 24.2 states/eV per cell.

(4)
Pu2Hg3Pb3 | PBE | relaxed

The structure belongs to space group Pmmm (No. 47); the cell edges are 4.751, 4.871 and 9.224 Å and the angles 90.00°, 90.00° and 90.00°. Symmetry generates all atoms from Pu at (0.000, 0.000, 0.249), Hg at (0.000, 0.500, 0.000), Hg at (0.500, 0.500, 0.245), Pb at (0.000, 0.500, 0.500), Pb at (0.500, 0.000, 0.000) and Pb at (0.500, 0.000, 0.500).

As for the formation enthalpy at 0 K: -0.136 eV/atom. The density of states at the Fermi level is 26.1 states/eV per cell.

(5)
Pu6HgPb2 | PBE | relaxed

The structure belongs to space group P6/mmm (No. 191); the cell edges are 9.0576, 9.0576 and 3.3285 Å and the angles 90.00°, 90.00° and 120.00°. Symmetry generates all atoms from Pu at (0.0000, 0.3303, 0.0000), Hg at (0.0000, 0.0000, 0.5000) and Pb at (0.3333, 0.6667, 0.5000).

As for the formation enthalpy at 0 K: 0.042 eV/atom. The density of states at the Fermi level is 30.2 states/eV per cell.

(6)
PuHgSbPb | PBE | relaxed

The structure belongs to space group Pmmm (No. 47); the cell edges are 4.526, 4.592 and 5.106 Å and the angles 90.00°, 90.00° and 90.00°. Symmetry generates all atoms from Pu at (0.000, 0.000, 0.000), Hg at (0.000, 0.500, 0.500), Sb at (0.500, 0.500, 0.000) and Pb at (0.500, 0.000, 0.500).

The density of states at the Fermi level is 10.5 states/eV per cell. As for the energy above the lowest structure with this stoichiometry: 0.000 eV/atom. The calculation puts the uncorrected formation energy at -0.2789 eV/atom.

Computed values of E (unit: eV/cell) for the preceding records, in sequence: -167.0, -40.5, -47.9, -41.8, -93.3, -23.6.